# 1
This record from Alexandria via LeMat-Bulk describes crystalline MnV2Cr8 at its relaxed geometry. The functional is PBE-GGA.

The structure in CIF format:
```
data_MnV2Cr8
_chemical_formula_sum 'Mn2 V4 Cr16'
_cell_length_a 4.0254
_cell_length_b 9.7542
_cell_length_c 6.9881
_cell_angle_alpha 90.00
_cell_angle_beta 90.00
_cell_angle_gamma 90.00
_symmetry_space_group_name_H-M 'A m m 2'
_symmetry_Int_Tables_number 38
_symmetry_space_group_name_Hall 'A 2 -2'
loop_
_atom_site_label
_atom_site_type_symbol
_atom_site_fract_x
_atom_site_fract_y
_atom_site_fract_z
Mn1 Mn 0.0000 0.0000 0.0000
V1 V 0.5000 0.1341 0.4842
Cr1 Cr 0.0000 0.0000 0.3446
Cr2 Cr 0.0000 0.0000 0.6812
Cr3 Cr 0.0000 0.2439 0.0931
Cr4 Cr 0.5000 0.1233 0.1541
Cr5 Cr 0.5000 0.1287 0.8301
```

theoretical density	6.93	Mg/m³
DOS(E_F)	1.266	states/eV/atom
V	12.47	Å³/atom
E	-9.13	eV per atom
total magnetic moment	0.000	μB per atom

# 2
This record from Alexandria via LeMat-Bulk describes crystalline Mg2H3Ir3 at its relaxed geometry. The functional is PBE-GGA.

The structure in CIF format:
```
data_Mg2H3Ir3
_chemical_formula_sum 'Mg4 H6 Ir6'
_cell_length_a 7.6735
_cell_length_b 4.4570
_cell_length_c 5.4862
_cell_angle_alpha 90.00
_cell_angle_beta 94.72
_cell_angle_gamma 90.00
_symmetry_space_group_name_H-M 'C 1 m 1'
_symmetry_Int_Tables_number 8
_symmetry_space_group_name_Hall 'C -2y'
loop_
_atom_site_label
_atom_site_type_symbol
_atom_site_fract_x
_atom_site_fract_y
_atom_site_fract_z
Mg1 Mg 0.0000 0.0000 0.0000
Mg2 Mg 0.1542 0.5000 0.5789
H1 H 0.1320 0.0000 0.6418
H2 H 0.3829 0.2217 0.5416
Ir1 Ir 0.1689 0.5000 0.0847
Ir2 Ir 0.3227 0.0000 0.7941
Ir3 Ir 0.3490 0.0000 0.2666
```

polymorph energy (0 for the lowest one)	0.20	eV per formula unit
theoretical density	11.16	Mg/m³
DOS(E_F)	0.543	states/eV/atom
V	11.69	Å³/atom
E	-5.10	eV per atom
total magnetic moment	0.000	μB per atom

# 3
This record from Alexandria via LeMat-Bulk describes crystalline ScOsI2F at its relaxed geometry. The functional is PBE-GGA.

The structure in CIF format:
```
data_ScOsI2F
_chemical_formula_sum 'Sc1 Os1 I2 F1'
_cell_length_a 5.5672
_cell_length_b 5.5672
_cell_length_c 3.9723
_cell_angle_alpha 90.00
_cell_angle_beta 90.00
_cell_angle_gamma 90.00
_symmetry_space_group_name_H-M 'P 4/m m m'
_symmetry_Int_Tables_number 123
_symmetry_space_group_name_Hall '-P 4 2'
loop_
_atom_site_label
_atom_site_type_symbol
_atom_site_fract_x
_atom_site_fract_y
_atom_site_fract_z
Sc1 Sc 0.0000 0.0000 0.0000
Os1 Os 0.5000 0.5000 0.0000
I1 I 0.0000 0.5000 0.5000
F1 F 0.5000 0.5000 0.5000
```

theoretical density	6.85	Mg/m³
DOS(E_F)	0.860	states/eV/atom
V	24.62	Å³/atom
E	-4.14	eV per atom
total magnetic moment	0.418	μB per atom
uncorrected formation energy	0.3691	eV per atom

# 4
This record from Alexandria via LeMat-Bulk describes crystalline Tl2NiPS4 at its relaxed geometry. The functional is PBE-GGA.

The structure in CIF format:
```
data_Tl2NiPS4
_chemical_formula_sum 'Tl16 Ni8 P8 S32'
_cell_length_a 5.9321
_cell_length_b 12.1090
_cell_length_c 23.5318
_cell_angle_alpha 90.00
_cell_angle_beta 90.00
_cell_angle_gamma 90.00
_symmetry_space_group_name_H-M 'F d d d'
_symmetry_Int_Tables_number 70
loop_
_symmetry_equiv_pos_as_xyz
'x,y,z'
'-x,-y,-z'
'-x+1/4,-y+1/4,z'
'x+1/4,y+1/4,-z'
'x,-y+1/4,-z+1/4'
'-x,y+1/4,z+1/4'
'-x+1/4,y,-z+1/4'
'x+1/4,-y,z+1/4'
'x,y+1/2,z+1/2'
'-x,-y+1/2,-z+1/2'
'-x+1/4,-y+3/4,z+1/2'
'x+1/4,y+3/4,-z+1/2'
'x,-y+3/4,-z+3/4'
'-x,y+3/4,z+3/4'
'-x+1/4,y+1/2,-z+3/4'
'x+1/4,-y+1/2,z+3/4'
'x+1/2,y,z+1/2'
'-x+1/2,-y,-z+1/2'
'-x+3/4,-y+1/4,z+1/2'
'x+3/4,y+1/4,-z+1/2'
'x+1/2,-y+1/4,-z+3/4'
'-x+1/2,y+1/4,z+3/4'
'-x+3/4,y,-z+3/4'
'x+3/4,-y,z+3/4'
'x+1/2,y+1/2,z'
'-x+1/2,-y+1/2,-z'
'-x+3/4,-y+3/4,z'
'x+3/4,y+3/4,-z'
'x+1/2,-y+3/4,-z+1/4'
'-x+1/2,y+3/4,z+1/4'
'-x+3/4,y+1/2,-z+1/4'
'x+3/4,-y+1/2,z+1/4'
loop_
_atom_site_label
_atom_site_type_symbol
_atom_site_fract_x
_atom_site_fract_y
_atom_site_fract_z
Tl1 Tl 0.1250 0.1250 0.3122
Ni1 Ni 0.1250 0.1250 0.1250
P1 P 0.1250 0.1250 0.6250
S1 S 0.0940 0.2786 0.8282
```

theoretical density	4.93	Mg/m³
DOS(E_F)	0.480	states/eV/atom
V	26.41	Å³/atom
E	-4.30	eV per atom
total magnetic moment	0.125	μB per atom
uncorrected formation energy	-0.2489	eV per atom

# 5
This record from Alexandria via LeMat-Bulk describes crystalline Mg2ZnPb at its relaxed geometry. The functional is PBE-GGA.

The structure in CIF format:
```
data_Mg2ZnPb
_chemical_formula_sum 'Mg4 Zn2 Pb2'
_cell_length_a 9.3663
_cell_length_b 3.4468
_cell_length_c 5.7837
_cell_angle_alpha 90.00
_cell_angle_beta 102.37
_cell_angle_gamma 90.00
_symmetry_space_group_name_H-M 'C 1 2/m 1'
_symmetry_Int_Tables_number 12
_symmetry_space_group_name_Hall '-C 2y'
loop_
_atom_site_label
_atom_site_type_symbol
_atom_site_fract_x
_atom_site_fract_y
_atom_site_fract_z
Mg1 Mg 0.2400 0.0000 0.2192
Zn1 Zn 0.0000 0.5000 0.0000
Pb1 Pb 0.0000 0.0000 0.5000
```

theoretical density	5.85	Mg/m³
DOS(E_F)	0.280	states/eV/atom
V	22.80	Å³/atom
E	-2.06	eV per atom
total magnetic moment	0.000	μB per atom

# 6
This record from Alexandria via LeMat-Bulk describes crystalline NdAlPb2 at its relaxed geometry. The functional is PBE-GGA.

The structure in CIF format:
```
data_NdAlPb2
_chemical_formula_sum 'Nd3 Al3 Pb6'
_cell_length_a 3.5553
_cell_length_b 3.5553
_cell_length_c 33.0099
_cell_angle_alpha 90.00
_cell_angle_beta 90.00
_cell_angle_gamma 120.00
_symmetry_space_group_name_H-M 'R -3 m'
_symmetry_Int_Tables_number 166
_symmetry_space_group_name_Hall '-R 3 2"'
loop_
_atom_site_label
_atom_site_type_symbol
_atom_site_fract_x
_atom_site_fract_y
_atom_site_fract_z
Nd1 Nd 0.0000 0.0000 0.0000
Al1 Al 0.0000 0.0000 0.5000
Pb1 Pb 0.0000 0.0000 0.0982
```

polymorph energy (0 for the lowest one)	1.82	eV per formula unit
theoretical density	8.07	Mg/m³
DOS(E_F)	0.696	states/eV/atom
V	30.11	Å³/atom
E	-3.82	eV per atom
total magnetic moment	0.000	μB per atom

# 7
This record from Alexandria via LeMat-Bulk describes crystalline LiHo4Tl3 at its relaxed geometry. The functional is PBE-GGA.

The structure in CIF format:
```
data_LiHo4Tl3
_chemical_formula_sum 'Li1 Ho4 Tl3'
_cell_length_a 3.7453
_cell_length_b 4.8325
_cell_length_c 12.0122
_cell_angle_alpha 90.00
_cell_angle_beta 90.00
_cell_angle_gamma 90.00
_symmetry_space_group_name_H-M 'P m m 2'
_symmetry_Int_Tables_number 25
_symmetry_space_group_name_Hall 'P 2 -2'
loop_
_atom_site_label
_atom_site_type_symbol
_atom_site_fract_x
_atom_site_fract_y
_atom_site_fract_z
Li1 Li 0.0000 0.0000 0.0000
Ho1 Ho 0.0000 0.0000 0.2700
Ho2 Ho 0.0000 0.5000 0.5940
Ho3 Ho 0.5000 0.0000 0.7800
Ho4 Ho 0.5000 0.5000 0.0894
Tl1 Tl 0.0000 0.5000 0.8634
Tl2 Tl 0.5000 0.0000 0.5192
Tl3 Tl 0.5000 0.5000 0.3497
```

polymorph energy (0 for the lowest one)	0.50	eV per formula unit
theoretical density	9.77	Mg/m³
DOS(E_F)	0.960	states/eV/atom
V	27.18	Å³/atom
E	-3.62	eV per atom
total magnetic moment	0.000	μB per atom

# 8
This record from Alexandria via LeMat-Bulk describes crystalline Pr2DyHo5Th at its relaxed geometry. The functional is PBE-GGA.

The structure in CIF format:
```
data_Pr2DyHo5Th
_chemical_formula_sum 'Pr8 Dy4 Ho20 Th4'
_cell_length_a 5.6175
_cell_length_b 19.8878
_cell_length_c 10.8003
_cell_angle_alpha 90.00
_cell_angle_beta 90.00
_cell_angle_gamma 90.00
_symmetry_space_group_name_H-M 'C m c 21'
_symmetry_Int_Tables_number 36
_symmetry_space_group_name_Hall 'C 2c -2'
loop_
_atom_site_label
_atom_site_type_symbol
_atom_site_fract_x
_atom_site_fract_y
_atom_site_fract_z
Pr1 Pr 0.0000 0.1151 0.0000
Pr2 Pr 0.0000 0.1151 0.4161
Dy1 Dy 0.0000 0.2007 0.6914
Ho1 Ho 0.0000 0.0152 0.7090
Ho2 Ho 0.0000 0.2808 0.9949
Ho3 Ho 0.0000 0.2994 0.3905
Ho4 Ho 0.0000 0.3914 0.7038
Ho5 Ho 0.0000 0.4796 0.4195
Th1 Th 0.0000 0.4172 0.1401
```

theoretical density	8.26	Mg/m³
DOS(E_F)	1.496	states/eV/atom
V	33.52	Å³/atom
E	-4.77	eV per atom
total magnetic moment	0.000	μB per atom

# 9
This record from Alexandria via LeMat-Bulk describes crystalline SiSe at its relaxed geometry. The functional is PBE-GGA.

The structure in CIF format:
```
data_SiSe
_chemical_formula_sum 'Si2 Se2'
_cell_length_a 3.4632
_cell_length_b 3.4634
_cell_length_c 8.6324
_cell_angle_alpha 89.08
_cell_angle_beta 89.83
_cell_angle_gamma 60.00
_symmetry_space_group_name_H-M 'P 1'
_symmetry_Int_Tables_number 1
_symmetry_space_group_name_Hall 'P 1'
loop_
_atom_site_label
_atom_site_type_symbol
_atom_site_fract_x
_atom_site_fract_y
_atom_site_fract_z
Si1 Si 0.0000 0.0000 0.0000
Si2 Si 0.3294 0.3446 0.7822
Se1 Se 0.6695 0.6587 0.1656
Se2 Se 0.9931 0.0196 0.6093
```

theoretical density	3.97	Mg/m³
DOS(E_F)	0.197	states/eV/atom
V	22.41	Å³/atom
E	-4.54	eV per atom
total magnetic moment	0.000	μB per atom
uncorrected formation energy	-0.0848	eV per atom

# 10
This record from Alexandria via LeMat-Bulk describes crystalline U3Ge4Pt4 at its relaxed geometry. The functional is PBE-GGA.

The structure in CIF format:
```
data_U3Ge4Pt4
_chemical_formula_sum 'U6 Ge8 Pt8'
_cell_length_a 3.6021
_cell_length_b 4.4531
_cell_length_c 26.7390
_cell_angle_alpha 90.00
_cell_angle_beta 90.00
_cell_angle_gamma 90.00
_symmetry_space_group_name_H-M 'I m m m'
_symmetry_Int_Tables_number 71
_symmetry_space_group_name_Hall '-I 2 2'
loop_
_atom_site_label
_atom_site_type_symbol
_atom_site_fract_x
_atom_site_fract_y
_atom_site_fract_z
U1 U 0.0000 0.0000 0.0000
U2 U 0.0000 0.5000 0.1404
Ge1 Ge 0.0000 0.0000 0.2591
Ge2 Ge 0.0000 0.5000 0.4050
Pt1 Pt 0.0000 0.0000 0.4496
Pt2 Pt 0.0000 0.5000 0.3115
```

theoretical density	13.82	Mg/m³
DOS(E_F)	1.727	states/eV/atom
V	19.50	Å³/atom
E	-7.50	eV per atom
total magnetic moment	0.573	μB per atom

Q: E of number 8 (Pr2DyHo5Th)?
A: -4.77 eV per atom

Q: Which value of V does entry 7 give?
A: 27.18 Å³/atom

Q: Which of these has the highest total magnetic moment?
A: U3Ge4Pt4